Compound: TiAsRu2Pt
Source: Alexandria via LeMat-Bulk
Functional: PBE-GGA
Structure: optimized geometry

a = 4.4930 Å, b = 4.4930 Å, c = 4.7619 Å
α = 90.00°, β = 90.00°, γ = 90.00°
Last column: nearest neighbours and their distance in Å.
Element x y z (fractional)
Ti  0.0000  0.0000  0.0000  4 Ru 2.25, 2 Pt 2.38
As  0.5000  0.5000  0.5000  4 Pt 3.18, 8 Ru 3.27
Ru  0.0000  0.5000  0.0000  2 Ti 2.25
Ru  0.5000  0.0000  0.0000  2 Ti 2.25
Pt  0.0000  0.0000  0.5000  2 Ti 2.38

Summary:
Size of the total moment in μB per cell: 0.6
Symmetry: No. 123
Formation energy in kJ/mol of formula units: 489
Fermi-level density of states in states/eV per cell: 5.69